(1)
# La2AsCl GGA-PBE optimized geometry
# **Crystal system**: tetragonal
# **Magnetic moment**: 0.000 μB/atom
# **V**: 101.41 Å³ per cell
data_La2AsCl
_chemical_formula_sum 'La2 As1 Cl1'
_cell_length_a 3.708
_cell_length_b 3.708
_cell_length_c 7.375
_cell_angle_alpha 90.00
_cell_angle_beta 90.00
_cell_angle_gamma 90.00
_space_group_name_H-M_alt 'P 4/m m m'
_space_group_IT_number 123
_space_group_name_Hall '-P 4 2'
loop_
_atom_site_label
_atom_site_fract_x
_atom_site_fract_y
_atom_site_fract_z
_atom_site_occupancy
La1 0.000 0.000 0.232 1
As1 0.500 0.500 0.000 1
Cl1 0.500 0.500 0.500 1

---

(2)
# LaNdAsCl GGA-PBE optimized geometry
# **Crystal system**: orthorhombic
# **Magnetic moment**: 0.001 μB/atom
# **V**: 257.46 Å³ per cell
data_LaNdAsCl
_chemical_formula_sum 'La2 Nd2 As2 Cl2'
_cell_length_a 5.934
_cell_length_b 4.680
_cell_length_c 9.272
_cell_angle_alpha 90.00
_cell_angle_beta 90.00
_cell_angle_gamma 90.00
_space_group_name_H-M_alt 'A m m 2'
_space_group_IT_number 38
loop_
_space_group_symop_operation_xyz
'x,y,z'
'-x,-y,z'
'-x,y,z'
'x,-y,z'
'x,y+1/2,z+1/2'
'-x,-y+1/2,z+1/2'
'-x,y+1/2,z+1/2'
'x,-y+1/2,z+1/2'
loop_
_atom_site_label
_atom_site_fract_x
_atom_site_fract_y
_atom_site_fract_z
_atom_site_occupancy
La1 0.000 0.000 0.000 1
Nd1 0.500 0.000 0.695 1
As1 0.500 0.000 0.009 1
Cl1 0.000 0.000 0.691 1

---

(3)
# La4NiAsCl2 GGA-PBE optimized geometry
# **Crystal system**: monoclinic
# **Magnetic moment**: 0.000 μB/atom
# **V**: 219.75 Å³ per cell
data_La4NiAsCl2
_chemical_formula_sum 'La4 Ni1 As1 Cl2'
_cell_length_a 7.361
_cell_length_b 4.132
_cell_length_c 7.629
_cell_angle_alpha 90.00
_cell_angle_beta 108.74
_cell_angle_gamma 90.00
_space_group_name_H-M_alt 'P 1 2/m 1'
_space_group_IT_number 10
loop_
_space_group_symop_operation_xyz
'x,y,z'
'-x,-y,-z'
'-x,y,-z'
'x,-y,z'
loop_
_atom_site_label
_atom_site_fract_x
_atom_site_fract_y
_atom_site_fract_z
_atom_site_occupancy
La1 0.219 0.000 0.222 1
La2 0.240 0.500 0.748 1
Ni1 0.000 0.500 0.000 1
As1 0.000 0.000 0.500 1
Cl1 0.500 0.000 0.000 1
Cl2 0.500 0.500 0.500 1

---

(4)
# LaAsClO4 GGA-PBE optimized geometry
# **Crystal system**: monoclinic
# **Magnetic moment**: 0.000 μB/atom
# **V**: 554.98 Å³ per cell
data_LaAsClO4
_chemical_formula_sum 'La4 As4 Cl4 O16'
_cell_length_a 11.465
_cell_length_b 6.928
_cell_length_c 7.116
_cell_angle_alpha 90.00
_cell_angle_beta 100.91
_cell_angle_gamma 90.00
_space_group_name_H-M_alt 'C 1 2/m 1'
_space_group_IT_number 12
loop_
_space_group_symop_operation_xyz
'x,y,z'
'-x,-y,-z'
'-x,y,-z'
'x,-y,z'
'x+1/2,y+1/2,z'
'-x+1/2,-y+1/2,-z'
'-x+1/2,y+1/2,-z'
'x+1/2,-y+1/2,z'
loop_
_atom_site_label
_atom_site_fract_x
_atom_site_fract_y
_atom_site_fract_z
_atom_site_occupancy
La1 0.207 0.000 0.331 1
As1 0.147 0.000 0.774 1
Cl1 0.026 0.500 0.374 1
O1 0.004 0.000 0.250 1
O2 0.193 0.190 0.646 1
O3 0.216 0.000 0.007 1

---

Computed energy relative to the elements, uncorrected (meV/atom) in order:
-1417; -1318; -1291; -1940
Computed calculated total energy (eV per atom) in order:
-5.505; -5.366; -5.520; -6.405